No. 1
This record from the Alexandria database describes a relaxed structure of Ca2RuSe. The functional is PBE.

Cell lengths 6.574, 6.574, 4.618 Å; angles 69.49, 69.49, 30.62 degrees
Sites, in units of the cell vectors:
1 Ru 0.532 0.532 0.468
2 Ca 0.004 0.004 0.997
3 Ca 0.781 0.781 0.718
4 Se 0.183 0.183 0.317

Output
**DFT total energy**: -4.6939 eV per atom
**Total magnetic moment**: 0.000 μB/atom
**Symmetry**: Imm2, No. 44
**Energy relative to the elements, uncorrected**: -0.50 eV per atom

No. 2
This record from the Alexandria database describes a relaxed structure of Ca2RuSe. The functional is PBE.

Cell lengths 7.736, 7.736, 6.277 Å; angles 51.96, 51.96, 90.00 degrees
Sites, in units of the cell vectors:
1 Ru 0.000 0.000 0.000
2 Ru 0.750 0.250 0.500
3 Ca 0.637 0.125 0.250
4 Ca 0.113 0.625 0.250
5 Ca 0.375 0.363 0.750
6 Ca 0.875 0.887 0.750
7 Se 0.500 0.500 0.000
8 Se 0.250 0.750 0.500

Output
**DFT total energy**: -4.3384 eV per atom
**Total magnetic moment**: 0.000 μB/atom
**Symmetry**: I-42d, No. 122
**Energy relative to the elements, uncorrected**: -0.15 eV per atom

No. 3
This record from the Alexandria database describes a relaxed structure of Ca2RuSe. The functional is PBE.

Cell lengths 4.832, 4.832, 4.832 Å; angles 60.00, 60.00, 60.00 degrees
Sites, in units of the cell vectors:
1 Ru 0.500 0.500 0.500
2 Ca 0.000 0.000 0.000
3 Ca 0.250 0.250 0.250
4 Se 0.750 0.750 0.750

Output
**DFT total energy**: -4.2943 eV per atom
**Total magnetic moment**: 0.000 μB/atom
**Symmetry**: F-43m, No. 216
**Energy relative to the elements, uncorrected**: -0.10 eV per atom

No. 4
This record from the Alexandria database describes a relaxed structure of Ca2RuSe. The functional is PBE.

Cell lengths 7.795, 4.841, 3.692 Å; angles 90.02, 61.70, 128.63 degrees
Sites, in units of the cell vectors:
1 Ru 0.000 0.500 0.500
2 Ca 0.000 0.000 0.000
3 Ca 0.500 0.000 0.500
4 Se 0.500 0.500 0.000

Output
**DFT total energy**: -4.6051 eV per atom
**Total magnetic moment**: 0.000 μB/atom
**Symmetry**: Cmmm, No. 65
**Energy relative to the elements, uncorrected**: -0.41 eV per atom

No. 5
This record from the Alexandria database describes a relaxed structure of Ca2TeRuSe. The functional is PBE.

Cell lengths 5.605, 5.605, 4.539 Å; angles 90.00, 90.00, 90.00 degrees
Site moments in Bohr magnetons follow the coordinates.
Sites, in units of the cell vectors:
1 Ru 0.000 0.000 0.500  0.61
2 Ca 0.000 0.500 0.000  -0.01
3 Ca 0.500 0.000 0.000  -0.01
4 Te 0.500 0.500 0.500  0.06
5 Se 0.000 0.000 0.000  0.00

Output
**DFT total energy**: -4.5412 eV per atom
**Total magnetic moment**: 0.145 μB/atom
**Symmetry**: P4/mmm, No. 123
**Energy relative to the elements, uncorrected**: -0.56 eV per atom

No. 6
This record from the Alexandria database describes a relaxed structure of CaRuW2Se. The functional is PBE.

Cell lengths 4.599, 5.081, 4.599 Å; angles 90.00, 90.00, 90.00 degrees
Site moments in Bohr magnetons follow the coordinates.
Sites, in units of the cell vectors:
1 Ru 0.500 0.500 0.500  1.20
2 Ca 0.000 0.500 0.000  -0.01
3 Se 0.000 0.000 0.000  0.00
4 W 0.000 0.000 0.500  0.11
5 W 0.500 0.000 0.000  0.08

Output
**DFT total energy**: -6.6795 eV per atom
**Total magnetic moment**: 0.289 μB/atom
**Symmetry**: P4/mmm, No. 123
**Energy relative to the elements, uncorrected**: 1.45 eV per atom

> Which value of total magnetic moment does entry 1 give?

0.000 μB/atom